[1]
Entry from the Alexandria database: crystalline TbPaSiPd at its relaxed geometry (PBE-GGA).

abc: 4.9936 4.9936 4.9936
angles: 60.00 60.00 60.00
Closest atoms and distances in Å follow each position.
Atoms (fractional coordinates):
1 Tb 0.0000 0.0000 0.0000  4 Pd 3.06, 4 Si 3.06
2 Pa 0.5000 0.5000 0.5000  4 Si 3.06, 4 Pd 3.06
3 Si 0.7500 0.7500 0.7500  4 Pa 3.06, 4 Tb 3.06
4 Pd 0.2500 0.2500 0.2500  4 Pa 3.06, 4 Tb 3.06

Results
Energy relative to the elements, uncorrected = -0.382 eV/atom

=====

[2]
Entry from the Alexandria database: crystalline Pa2ZnSi3Pd4 at its relaxed geometry (PBE-GGA).

abc: 4.1603 4.1603 10.1359
angles: 90.00 90.00 90.00
Closest atoms and distances in Å follow each position.
Atoms (fractional coordinates):
1 Pa 0.0000 0.5000 0.2490  8 Pd 3.16-3.27, 6 Si 3.17-3.29, 2 Zn 3.29
2 Pa 0.5000 0.0000 0.7510  8 Pd 3.16-3.27, 6 Si 3.17-3.29, 2 Zn 3.29
3 Zn 0.0000 0.0000 0.5000  4 Pd 2.50
4 Si 0.0000 0.5000 0.8683  5 Pd 2.35-2.47
5 Si 0.5000 0.0000 0.1317  5 Pd 2.35-2.47
6 Si 0.5000 0.5000 0.5000  4 Pd 2.50
7 Pd 0.0000 0.0000 0.0000  4 Si 2.47
8 Pd 0.0000 0.5000 0.6362  3 Si 2.35-2.50, 2 Zn 2.50
9 Pd 0.5000 0.0000 0.3638  3 Si 2.35-2.50, 2 Zn 2.50
10 Pd 0.5000 0.5000 0.0000  4 Si 2.47

Results
Energy relative to the elements, uncorrected = -0.682 eV/atom

=====

[3]
Entry from the Alexandria database: crystalline Pa2ZnSi4Pd3 at its relaxed geometry (PBE-GGA).

abc: 4.2103 4.2103 9.7985
angles: 90.00 90.00 90.00
Closest atoms and distances in Å follow each position.
Atoms (fractional coordinates):
1 Pa 0.0000 0.5000 0.2487  8 Si 3.18-3.22, 6 Pd 3.23-3.24, 2 Zn 3.24
2 Pa 0.5000 0.0000 0.7513  8 Si 3.18-3.22, 6 Pd 3.23-3.24, 2 Zn 3.24
3 Zn 0.0000 0.0000 0.5000  4 Si 2.50
4 Si 0.0000 0.0000 0.0000  4 Pd 2.41
5 Si 0.0000 0.5000 0.6379  3 Pd 2.37-2.50, 2 Zn 2.50
6 Si 0.5000 0.0000 0.3621  3 Pd 2.37-2.50, 2 Zn 2.50
7 Si 0.5000 0.5000 0.0000  4 Pd 2.41
8 Pd 0.0000 0.5000 0.8802  5 Si 2.37-2.41
9 Pd 0.5000 0.0000 0.1198  5 Si 2.37-2.41
10 Pd 0.5000 0.5000 0.5000  4 Si 2.50

Results
Energy relative to the elements, uncorrected = -0.626 eV/atom

=====

[4]
Entry from the Alexandria database: crystalline SmPaPd6 at its relaxed geometry (PBE-GGA).

abc: 4.1598 4.1598 8.3203
angles: 90.00 90.00 90.00
Closest atoms and distances in Å follow each position.
Atoms (fractional coordinates):
1 Sm 0.0000 0.0000 0.0000  12 Pd 2.94-2.99
2 Pa 0.0000 0.0000 0.5000  12 Pd 2.89-2.94
3 Pd 0.0000 0.5000 0.2585  2 Pa 2.89, 8 Pd 2.89-2.99, 2 Sm 2.99
4 Pd 0.0000 0.5000 0.7415  2 Pa 2.89, 8 Pd 2.89-2.99, 2 Sm 2.99
5 Pd 0.5000 0.0000 0.2585  2 Pa 2.89, 8 Pd 2.89-2.99, 2 Sm 2.99
6 Pd 0.5000 0.0000 0.7415  2 Pa 2.89, 8 Pd 2.89-2.99, 2 Sm 2.99
7 Pd 0.5000 0.5000 0.0000  4 Sm 2.94, 8 Pd 2.99
8 Pd 0.5000 0.5000 0.5000  8 Pd 2.89, 4 Pa 2.94

Results
Energy of formation = -0.83 eV per atom
Energy relative to the lowest polymorph listed for this composition = 0.0 meV per atom

=====

[5]
Entry from the Alexandria database: crystalline Sm2PaPd at its relaxed geometry (PBE-GGA).

abc: 11.2390 11.2390 11.2390
angles: 16.77 16.77 16.77
Closest atoms and distances in Å follow each position.
Atoms (fractional coordinates):
1 Sm 0.0970 0.0970 0.0970  3 Pd 2.99, 1 Pa 3.22, 6 Sm 3.28
2 Sm 0.9030 0.9030 0.9030  3 Pd 2.99, 1 Pa 3.22, 6 Sm 3.28
3 Pa 0.0000 0.0000 0.0000  2 Sm 3.22, 6 Pa 3.28
4 Pd 0.5000 0.5000 0.5000  6 Sm 2.99, 6 Pd 3.28

Results
Energy of formation = 0.08 eV per atom
Energy relative to the lowest polymorph listed for this composition = 307.0 meV per atom

=====

[6]
Entry from the Alexandria database: crystalline SmPaPd2 at its relaxed geometry (PBE-GGA).

abc: 5.0165 5.0165 5.0165
angles: 60.00 60.00 60.00
Closest atoms and distances in Å follow each position.
Atoms (fractional coordinates):
1 Sm 0.0000 0.0000 0.0000  8 Pd 3.07
2 Pa 0.5000 0.5000 0.5000  8 Pd 3.07
3 Pd 0.2500 0.2500 0.2500  4 Pa 3.07, 4 Sm 3.07
4 Pd 0.7500 0.7500 0.7500  4 Pa 3.07, 4 Sm 3.07

Results
Energy of formation = -0.49 eV per atom
Energy relative to the lowest polymorph listed for this composition = 55.8 meV per atom

=====

[7]
Entry from the Alexandria database: crystalline SmPaPd6 at its relaxed geometry (PBE-GGA).

abc: 7.6637 7.6637 7.6637
angles: 42.05 42.05 42.05
Closest atoms and distances in Å follow each position.
Atoms (fractional coordinates):
1 Sm 0.0000 0.0000 0.0000  12 Pd 3.09
2 Pa 0.5000 0.5000 0.5000  6 Pd 2.64
3 Pd 0.0594 0.5706 0.5706  1 Pa 2.64, 5 Pd 2.69-2.81
4 Pd 0.4294 0.4294 0.9406  1 Pa 2.64, 5 Pd 2.69-2.81
5 Pd 0.4294 0.9406 0.4294  1 Pa 2.64, 5 Pd 2.69-2.81
6 Pd 0.5706 0.0594 0.5706  1 Pa 2.64, 5 Pd 2.69-2.81
7 Pd 0.5706 0.5706 0.0594  1 Pa 2.64, 5 Pd 2.69-2.81
8 Pd 0.9406 0.4294 0.4294  1 Pa 2.64, 5 Pd 2.69-2.81

Results
Energy of formation = -0.39 eV per atom
Energy relative to the lowest polymorph listed for this composition = 442.7 meV per atom

=====

[8]
Entry from the Alexandria database: crystalline SmPaPd2 at its relaxed geometry (PBE-GGA).

abc: 3.5498 3.5498 7.1722
angles: 90.00 90.00 90.00
Closest atoms and distances in Å follow each position.
Atoms (fractional coordinates):
1 Sm 0.0000 0.0000 0.0000  8 Pd 3.20, 4 Sm 3.55
2 Pa 0.0000 0.0000 0.5000  8 Pd 2.98
3 Pd 0.5000 0.5000 0.2764  4 Pa 2.98, 4 Sm 3.20, 1 Pd 3.21
4 Pd 0.5000 0.5000 0.7236  4 Pa 2.98, 4 Sm 3.20, 1 Pd 3.21

Results
Energy of formation = -0.54 eV per atom
Energy relative to the lowest polymorph listed for this composition = 0.0 meV per atom

=====

[9]
Entry from the Alexandria database: crystalline SmPaPd4 at its relaxed geometry (PBE-GGA).

abc: 10.3755 10.3755 5.7733
angles: 90.00 90.00 156.96
Closest atoms and distances in Å follow each position.
Atoms (fractional coordinates):
1 Sm 0.2249 0.7751 0.7500  7 Pd 3.01-3.17
2 Sm 0.7751 0.2249 0.2500  7 Pd 3.01-3.17
3 Pa 0.0786 0.9214 0.2500  11 Pd 2.87-3.00
4 Pa 0.9214 0.0786 0.7500  11 Pd 2.87-3.00
5 Pd 0.0690 0.9310 0.7500  8 Pd 2.89-2.92, 3 Pa 2.89-3.00, 1 Sm 3.17
6 Pd 0.3570 0.6430 0.0070  5 Pd 2.81-2.97, 2 Pa 2.87, 3 Sm 3.01-3.07
7 Pd 0.3570 0.6430 0.4930  5 Pd 2.81-2.97, 2 Pa 2.87, 3 Sm 3.01-3.07
8 Pd 0.5000 0.5000 0.0000  8 Pd 2.89-2.91, 4 Pa 2.99
9 Pd 0.5000 0.5000 0.5000  8 Pd 2.89-2.91, 4 Pa 2.99
10 Pd 0.6430 0.3570 0.5070  5 Pd 2.81-2.97, 2 Pa 2.87, 3 Sm 3.01-3.07
11 Pd 0.6430 0.3570 0.9930  5 Pd 2.81-2.97, 2 Pa 2.87, 3 Sm 3.01-3.07
12 Pd 0.9310 0.0690 0.2500  8 Pd 2.89-2.92, 3 Pa 2.89-3.00, 1 Sm 3.17

Results
Energy of formation = -0.74 eV per atom
Energy relative to the lowest polymorph listed for this composition = 0.0 meV per atom

=====

[10]
Entry from the Alexandria database: crystalline Sm2PaPd9 at its relaxed geometry (PBE-GGA).

abc: 4.1595 4.1595 12.4914
angles: 90.00 90.00 90.00
Closest atoms and distances in Å follow each position.
Atoms (fractional coordinates):
1 Sm 0.0000 0.0000 0.1628  12 Pd 2.91-3.05
2 Sm 0.0000 0.0000 0.8372  12 Pd 2.91-3.05
3 Pa 0.0000 0.0000 0.5000  12 Pd 2.88-2.94
4 Pd 0.0000 0.5000 0.0000  4 Sm 2.91, 8 Pd 2.94-2.97
5 Pd 0.0000 0.5000 0.3411  2 Pa 2.88, 8 Pd 2.88-2.98, 2 Sm 3.05
6 Pd 0.0000 0.5000 0.6589  2 Pa 2.88, 8 Pd 2.88-2.98, 2 Sm 3.05
7 Pd 0.5000 0.0000 0.0000  4 Sm 2.91, 8 Pd 2.94-2.97
8 Pd 0.5000 0.0000 0.3411  2 Pa 2.88, 8 Pd 2.88-2.98, 2 Sm 3.05
9 Pd 0.5000 0.0000 0.6589  2 Pa 2.88, 8 Pd 2.88-2.98, 2 Sm 3.05
10 Pd 0.5000 0.5000 0.1701  4 Sm 2.94, 8 Pd 2.97-2.98
11 Pd 0.5000 0.5000 0.5000  8 Pd 2.88, 4 Pa 2.94
12 Pd 0.5000 0.5000 0.8299  4 Sm 2.94, 8 Pd 2.97-2.98

Results
Energy of formation = -0.85 eV per atom

=====

[11]
Entry from the Alexandria database: crystalline Sm2PaPd at its relaxed geometry (PBE-GGA).

abc: 3.5330 3.5330 8.2282
angles: 90.00 90.00 90.00
Closest atoms and distances in Å follow each position.
Atoms (fractional coordinates):
1 Sm 0.0000 0.0000 0.2188  4 Pd 3.08, 4 Pa 3.40
2 Sm 0.0000 0.0000 0.7812  4 Pd 3.08, 4 Pa 3.40
3 Pa 0.5000 0.5000 0.5000  8 Sm 3.40, 4 Pa 3.53
4 Pd 0.5000 0.5000 0.0000  8 Sm 3.08

Results
Energy of formation = -0.23 eV per atom
Energy relative to the lowest polymorph listed for this composition = 0.0 meV per atom

=====

[12]
Entry from the Alexandria database: crystalline SmPaPd2 at its relaxed geometry (PBE-GGA).

abc: 7.7093 7.7093 7.7093
angles: 29.48 29.48 29.48
Closest atoms and distances in Å follow each position.
Atoms (fractional coordinates):
1 Sm 0.0000 0.0000 0.0000  6 Pd 3.02
2 Pa 0.5000 0.5000 0.5000  6 Pd 2.83
3 Pd 0.2430 0.2430 0.2430  3 Pa 2.83, 3 Sm 3.02
4 Pd 0.7570 0.7570 0.7570  3 Pa 2.83, 3 Sm 3.02

Results
Energy of formation = -0.50 eV per atom
Energy relative to the lowest polymorph listed for this composition = 38.0 meV per atom